## i
DFT (PBE) results for crystalline Cu2Ag at its relaxed geometry.

## Properties
Space-group type = Cm (8)

Lattice parameters (Å, degrees): 4.7185 4.7185 10.8577 111.94 111.94 34.22
Positions (direct):
1 Cu 0.0000 0.0000 0.0000
2 Cu 0.0005 0.0005 0.3358
3 Cu 0.3319 0.3319 0.8094
4 Cu 0.3472 0.3472 0.1105
5 Cu 0.6714 0.6714 0.9105
6 Cu 0.9971 0.9971 0.7110
7 Ag 0.3370 0.3370 0.4633
8 Ag 0.6633 0.6633 0.5890
9 Ag 0.6716 0.6716 0.2192

***

## ii
DFT (PBE) results for crystalline Cu2Ag at its relaxed geometry.

## Properties
Space-group type = Imm2 (44)

Lattice parameters (Å, degrees): 12.8721 12.8721 12.8721 167.63 164.16 20.15
Positions (direct):
1 Cu 0.0000 0.0000 0.0000
2 Cu 0.0984 0.0984 0.0000
3 Cu 0.2157 0.2157 0.0000
4 Cu 0.3341 0.3341 0.0000
5 Cu 0.5495 0.5495 0.0000
6 Cu 0.8818 0.8818 0.0000
7 Ag 0.4414 0.4414 0.0000
8 Ag 0.6575 0.6575 0.0000
9 Ag 0.7742 0.7742 0.0000

***

Which structure is the most stable? The one labeled i.

***

## i
DFT (PBE) results for crystalline Cu2Ag at its relaxed geometry.

## Properties
Space-group type = Fmm2 (42)

Lattice parameters (Å, degrees): 8.1923 6.0367 6.1330 84.62 47.19 48.19
Positions (direct):
1 Cu 0.0000 0.0000 0.0000
2 Cu 0.0069 0.6711 0.3289
3 Cu 0.0152 0.3583 0.6417
4 Cu 0.3444 0.3444 0.6556
5 Cu 0.3583 0.0152 0.9848
6 Cu 0.6711 0.0069 0.9931
7 Ag 0.3454 0.6718 0.3282
8 Ag 0.6718 0.3454 0.6546
9 Ag 0.6820 0.6820 0.3180

***

## ii
DFT (PBE) results for crystalline Cu2Ag at its relaxed geometry.

## Properties
Space-group type = C2/m (12)

Lattice parameters (Å, degrees): 5.3149 5.3149 9.0137 106.89 106.89 30.87
Positions (direct):
1 Cu 0.0012 0.0012 0.1398
2 Cu 0.3274 0.3274 0.9471
3 Cu 0.3508 0.3508 0.2456
4 Cu 0.6492 0.6492 0.7544
5 Cu 0.6726 0.6726 0.0529
6 Cu 0.9988 0.9988 0.8602
7 Ag 0.0000 0.0000 0.5000
8 Ag 0.3201 0.3201 0.6385
9 Ag 0.6799 0.6799 0.3615

***

Which structure is the most stable? The one labeled ii.

***

## i
DFT (PBE) results for crystalline LuMgCoGe at its relaxed geometry.

## Properties
Spin magnetization = 0.00 μB/f.u.
Space-group type = F-43m (216)

Lattice parameters (Å, degrees): 4.5717 4.5717 4.5717 60.00 60.00 60.00
Positions (direct):
1 Lu 0.0000 0.0000 0.0000
2 Mg 0.7500 0.7500 0.7500
3 Co 0.5000 0.5000 0.5000
4 Ge 0.2500 0.2500 0.2500

***

## ii
DFT (PBE) results for crystalline LuMgCoGe at its relaxed geometry.

## Properties
Spin magnetization = 0.93 μB/f.u.
Space-group type = F-43m (216)

Lattice parameters (Å, degrees): 4.6364 4.6364 4.6364 60.00 60.00 60.00
Positions (direct):
1 Lu 0.0000 0.0000 0.0000
2 Mg 0.5000 0.5000 0.5000
3 Co 0.7500 0.7500 0.7500
4 Ge 0.2500 0.2500 0.2500

***

Which structure is the most stable? The one labeled ii.

***

## i
DFT (PBE) results for crystalline GaPt15 at its relaxed geometry.

## Properties
Spin magnetization = 0.01 μB/f.u.
Space-group type = P2/c (13)

Lattice parameters (Å, degrees): 4.8160 36.7711 4.8178 90.00 109.96 90.00
Positions (direct):
1 Ga 0.0000 0.2141 0.2500
2 Ga 0.0000 0.7859 0.7500
3 Pt 0.0000 0.2442 0.7500
4 Pt 0.0000 0.2868 0.2500
5 Pt 0.0000 0.3252 0.7500
6 Pt 0.0000 0.3645 0.2500
7 Pt 0.0000 0.4031 0.7500
8 Pt 0.0000 0.4420 0.2500
9 Pt 0.0000 0.4806 0.7500
10 Pt 0.0000 0.5194 0.2500
11 Pt 0.0000 0.5580 0.7500
12 Pt 0.0000 0.5969 0.2500
13 Pt 0.0000 0.6355 0.7500
14 Pt 0.0000 0.6748 0.2500
15 Pt 0.0000 0.7132 0.7500
16 Pt 0.0000 0.7558 0.2500
17 Pt 0.5000 0.2111 0.7500
18 Pt 0.5000 0.2442 0.2500
19 Pt 0.5000 0.2862 0.7500
20 Pt 0.5000 0.3251 0.2500
21 Pt 0.5000 0.3640 0.7500
22 Pt 0.5000 0.4031 0.2500
23 Pt 0.5000 0.4416 0.7500
24 Pt 0.5000 0.4807 0.2500
25 Pt 0.5000 0.5193 0.7500
26 Pt 0.5000 0.5584 0.2500
27 Pt 0.5000 0.5969 0.7500
28 Pt 0.5000 0.6360 0.2500
29 Pt 0.5000 0.6749 0.7500
30 Pt 0.5000 0.7138 0.2500
31 Pt 0.5000 0.7558 0.7500
32 Pt 0.5000 0.7889 0.2500

***

## ii
DFT (PBE) results for crystalline GaPt15 at its relaxed geometry.

## Properties
Spin magnetization = 0.01 μB/f.u.
Space-group type = Pmma (51)

Lattice parameters (Å, degrees): 3.9346 3.9367 45.5026 90.00 90.00 90.00
Positions (direct):
1 Ga 0.2500 0.0000 0.1698
2 Ga 0.7500 0.0000 0.8302
3 Pt 0.2500 0.0000 0.2575
4 Pt 0.2500 0.0000 0.3452
5 Pt 0.2500 0.0000 0.4338
6 Pt 0.2500 0.0000 0.5221
7 Pt 0.2500 0.0000 0.6105
8 Pt 0.2500 0.0000 0.6988
9 Pt 0.2500 0.0000 0.7882
10 Pt 0.2500 0.5000 0.2118
11 Pt 0.2500 0.5000 0.3012
12 Pt 0.2500 0.5000 0.3896
13 Pt 0.2500 0.5000 0.4779
14 Pt 0.2500 0.5000 0.5664
15 Pt 0.2500 0.5000 0.6544
16 Pt 0.2500 0.5000 0.7439
17 Pt 0.2500 0.5000 0.8313
18 Pt 0.7500 0.0000 0.2118
19 Pt 0.7500 0.0000 0.3012
20 Pt 0.7500 0.0000 0.3895
21 Pt 0.7500 0.0000 0.4779
22 Pt 0.7500 0.0000 0.5662
23 Pt 0.7500 0.0000 0.6548
24 Pt 0.7500 0.0000 0.7425
25 Pt 0.7500 0.5000 0.1687
26 Pt 0.7500 0.5000 0.2561
27 Pt 0.7500 0.5000 0.3456
28 Pt 0.7500 0.5000 0.4336
29 Pt 0.7500 0.5000 0.5221
30 Pt 0.7500 0.5000 0.6104
31 Pt 0.7500 0.5000 0.6988
32 Pt 0.7500 0.5000 0.7882

***

Which structure is the most stable? The one labeled ii.

***

## i
DFT (PBE) results for crystalline ZrMo at its relaxed geometry.

## Properties
Spin magnetization = 0.02 μB/f.u.
Space-group type = P-6m2 (187)

Lattice parameters (Å, degrees): 3.0089 3.0089 4.8797 90.00 90.00 120.00
Positions (direct):
1 Zr 0.0000 0.0000 0.0000
2 Mo 0.3333 0.6667 0.5000

***

## ii
DFT (PBE) results for crystalline ZrMo at its relaxed geometry.

## Properties
Spin magnetization = 0.01 μB/f.u.
Space-group type = Pnma (62)

Lattice parameters (Å, degrees): 4.7302 4.7023 6.6423 90.00 90.00 90.00
Positions (direct):
1 Zr 0.0010 0.2500 0.1253
2 Zr 0.4990 0.7500 0.6253
3 Zr 0.5010 0.2500 0.3747
4 Zr 0.9990 0.7500 0.8747
5 Mo 0.0001 0.2500 0.6244
6 Mo 0.9999 0.7500 0.3756
7 Mo 0.5001 0.2500 0.8756
8 Mo 0.4999 0.7500 0.1244

***

## iii
DFT (PBE) results for crystalline ZrMo at its relaxed geometry.

## Properties
Spin magnetization = 0.00 μB/f.u.
Space-group type = P2_1/m (11)

Lattice parameters (Å, degrees): 6.6503 4.8893 7.1523 90.00 103.12 90.00
Positions (direct):
1 Zr 0.0363 0.2500 0.1726
2 Zr 0.3020 0.7500 0.2034
3 Zr 0.4465 0.7500 0.8234
4 Zr 0.5535 0.2500 0.1766
5 Zr 0.6980 0.2500 0.7966
6 Zr 0.9637 0.7500 0.8274
7 Mo 0.1141 0.7500 0.4957
8 Mo 0.2024 0.2500 0.8030
9 Mo 0.3664 0.2500 0.5028
10 Mo 0.6336 0.7500 0.4972
11 Mo 0.7976 0.7500 0.1970
12 Mo 0.8859 0.2500 0.5043

***

Which structure is the most stable? The one labeled iii.

***

## i
DFT (PBE) results for crystalline Cu7Ag3 at its relaxed geometry.

## Properties
Space-group type = P-1 (2)

Lattice parameters (Å, degrees): 4.6200 4.6913 7.1160 102.55 108.37 99.77
Positions (direct):
1 Cu 0.0000 0.0000 0.0000
2 Cu 0.1940 0.0959 0.6941
3 Cu 0.2066 0.6184 0.2058
4 Cu 0.3912 0.1839 0.4016
5 Cu 0.6088 0.8161 0.5984
6 Cu 0.7934 0.3816 0.7942
7 Cu 0.8060 0.9041 0.3059
8 Ag 0.0000 0.5000 0.5000
9 Ag 0.4018 0.6991 0.8983
10 Ag 0.5982 0.3009 0.1017

***

## ii
DFT (PBE) results for crystalline Cu7Ag3 at its relaxed geometry.

## Properties
Space-group type = Cmmm (65)

Lattice parameters (Å, degrees): 9.6522 9.6522 3.7853 90.00 90.00 157.19
Positions (direct):
1 Cu 0.0000 0.0000 0.0000
2 Cu 0.0982 0.9018 0.5000
3 Cu 0.1949 0.8051 0.0000
4 Cu 0.4020 0.5980 0.0000
5 Cu 0.5980 0.4020 0.0000
6 Cu 0.8051 0.1949 0.0000
7 Cu 0.9018 0.0982 0.5000
8 Ag 0.3035 0.6965 0.5000
9 Ag 0.5000 0.5000 0.5000
10 Ag 0.6965 0.3035 0.5000

***

## iii
DFT (PBE) results for crystalline Cu7Ag3 at its relaxed geometry.

## Properties
Space-group type = R-3m (166)

Lattice parameters (Å, degrees): 21.3268 21.3268 21.3268 7.36 7.36 7.36
Positions (direct):
1 Cu 0.0000 0.0000 0.0000
2 Cu 0.2012 0.2012 0.2012
3 Cu 0.3023 0.3023 0.3023
4 Cu 0.3952 0.3952 0.3952
5 Cu 0.6048 0.6048 0.6048
6 Cu 0.6977 0.6977 0.6977
7 Cu 0.7988 0.7988 0.7988
8 Ag 0.0972 0.0972 0.0972
9 Ag 0.5000 0.5000 0.5000
10 Ag 0.9028 0.9028 0.9028

***

## iv
DFT (PBE) results for crystalline Cu7Ag3 at its relaxed geometry.

## Properties
Space-group type = P-1 (2)

Lattice parameters (Å, degrees): 4.6139 4.6713 7.0968 107.65 102.40 100.35
Positions (direct):
1 Cu 0.0000 0.0000 0.0000
2 Cu 0.1262 0.2157 0.7251
3 Cu 0.2932 0.6015 0.0888
4 Cu 0.4170 0.8088 0.8198
5 Cu 0.5830 0.1912 0.1802
6 Cu 0.7068 0.3985 0.9112
7 Cu 0.8738 0.7843 0.2749
8 Ag 0.1796 0.3855 0.3844
9 Ag 0.5000 0.0000 0.5000
10 Ag 0.8204 0.6145 0.6156

***

Which structure is the most stable? The one labeled iv.